[1]
The following is a DFT calculation (PBE) of LaMgBr4 after structural relaxation.

Computed properties:
The uncorrected formation energy is -0.314 eV per atom. The total DFT energy (no corrections) comes out at -15.10 eV per cell. The density of states at the Fermi level comes out at 6.309 states/eV per cell.

```
LaMgBr4
1.0
5.260 -3.433 -0.827
0.249 -5.971 2.103
0.027 -4.812 -4.122
La Mg Br
1 1 4
Direct
0.750 0.750 0.750
0.000 0.000 0.000
0.875 0.375 0.375
0.375 0.375 0.875
0.375 0.875 0.375
0.375 0.375 0.375
```



[2]
The following is a DFT calculation (PBE) of LaMgBr2 after structural relaxation.

Computed properties:
The uncorrected formation energy is -0.988 eV per atom. The total DFT energy (no corrections) comes out at -13.82 eV per cell. The density of states at the Fermi level comes out at 2.961 states/eV per cell.

```
LaMgBr2
1.0
6.515 0.285 0.026
2.030 6.197 -0.026
-3.280 -4.550 3.327
Br La Mg
2 1 1
Direct
0.962 0.962 0.000
0.538 0.538 0.000
0.750 0.250 0.500
0.250 0.750 0.500
```



[3]
The following is a DFT calculation (PBE) of LaMgBr after structural relaxation.

Computed properties:
The uncorrected formation energy is -0.432 eV per atom. The total DFT energy (no corrections) comes out at -9.49 eV per cell. The density of states at the Fermi level comes out at 2.208 states/eV per cell.

```
LaMgBr
1.0
5.102 0.000 0.000
2.551 4.419 0.000
2.551 1.473 4.166
Br La Mg
1 1 1
Direct
0.750 0.750 0.750
0.000 0.000 0.000
0.500 0.500 0.500
```



[4]
The following is a DFT calculation (PBE) of LaMgBr2 after structural relaxation.

Computed properties:
The uncorrected formation energy is -0.878 eV per atom. The total DFT energy (no corrections) comes out at -13.38 eV per cell. The density of states at the Fermi level comes out at 1.787 states/eV per cell.

```
LaMgBr2
1.0
-4.623 -0.531 2.586
3.048 -2.809 3.341
0.760 3.229 2.021
Br La Mg
2 1 1
Direct
0.000 0.000 0.000
0.500 0.500 0.000
0.500 0.000 0.500
0.000 0.500 0.500
```



[5]
The following is a DFT calculation (PBE) of La2MgBr after structural relaxation.

Computed properties:
The uncorrected formation energy is -0.385 eV per atom. The total DFT energy (no corrections) comes out at -14.66 eV per cell. The density of states at the Fermi level comes out at 7.326 states/eV per cell.

```
La2MgBr
1.0
-5.298 -1.692 0.443
-3.587 0.942 -4.168
-1.841 -4.250 -3.110
Mg Br La
1 1 2
Direct
0.000 0.000 0.000
0.500 0.500 0.500
0.250 0.250 0.250
0.750 0.750 0.750
```



[6]
The following is a DFT calculation (PBE) of La2MgBr after structural relaxation.

Computed properties:
The uncorrected formation energy is -0.318 eV per atom. The total DFT energy (no corrections) comes out at -14.40 eV per cell. The density of states at the Fermi level comes out at 5.683 states/eV per cell.

```
La2MgBr
1.0
-3.383 -3.808 4.607
2.403 -1.520 6.252
-0.895 5.319 -4.251
Br La Mg
1 2 1
Direct
0.750 0.250 0.500
0.000 0.000 0.000
0.250 0.750 0.500
0.500 0.500 0.000
```



[7]
The following is a DFT calculation (PBE) of LaMg2Br after structural relaxation.

Computed properties:
The uncorrected formation energy is -0.418 eV per atom. The total DFT energy (no corrections) comes out at -11.46 eV per cell. The density of states at the Fermi level comes out at 3.916 states/eV per cell.

```
LaMg2Br
1.0
6.063 0.000 0.000
0.000 4.327 0.000
0.000 0.000 4.327
Br La Mg
1 1 2
Direct
0.500 0.500 0.000
0.500 0.000 0.500
0.000 0.000 0.000
0.000 0.500 0.500
```



[8]
The following is a DFT calculation (PBE) of LaMgBr2 after structural relaxation.

Computed properties:
The uncorrected formation energy is -1.055 eV per atom. The total DFT energy (no corrections) comes out at -14.09 eV per cell. The density of states at the Fermi level comes out at 2.306 states/eV per cell.

```
LaMgBr2
1.0
-7.441 7.322 3.616
-9.685 5.138 1.363
-8.975 4.064 5.000
Br La Mg
2 1 1
Direct
0.981 0.981 0.981
0.519 0.519 0.519
0.250 0.250 0.250
0.750 0.750 0.750
```



[9]
The following is a DFT calculation (PBE) of LaMg2Br after structural relaxation.

Computed properties:
The uncorrected formation energy is -0.403 eV per atom. The total DFT energy (no corrections) comes out at -11.40 eV per cell. The density of states at the Fermi level comes out at 2.942 states/eV per cell.

```
LaMg2Br
1.0
3.521 -0.125 0.000
-1.346 3.256 0.000
0.000 0.000 10.059
Br La Mg
1 1 2
Direct
0.000 0.000 0.486
0.500 0.500 0.736
0.000 0.000 0.018
0.500 0.500 0.259
```



[10]
The following is a DFT calculation (PBE) of LaMgBr4 after structural relaxation.

Computed properties:
The uncorrected formation energy is -1.583 eV per atom. The total DFT energy (no corrections) comes out at -22.71 eV per cell. The density of states at the Fermi level comes out at 1.375 states/eV per cell.

```
LaMgBr4
1.0
-2.556 -2.823 0.507
3.758 -4.197 -4.415
3.634 -2.147 6.364
La Mg Br
1 1 4
Direct
0.500 0.000 0.500
0.000 0.000 0.000
0.000 0.761 0.698
0.500 0.211 0.867
0.500 0.789 0.133
0.000 0.239 0.302
```



[11]
The following is a DFT calculation (PBE) of La2MgBr after structural relaxation.

Computed properties:
The uncorrected formation energy is -0.475 eV per atom. The total DFT energy (no corrections) comes out at -15.02 eV per cell. The density of states at the Fermi level comes out at 3.285 states/eV per cell.

```
La2MgBr
1.0
-2.507 2.810 -5.913
-3.874 -0.583 -5.814
-5.122 2.079 0.552
Br La Mg
1 2 1
Direct
0.736 0.736 0.764
0.025 0.025 0.975
0.263 0.263 0.237
0.476 0.476 0.524
```



[12]
The following is a DFT calculation (PBE) of LaMg2Br after structural relaxation.

Computed properties:
The uncorrected formation energy is 0.030 eV per atom. The total DFT energy (no corrections) comes out at -9.67 eV per cell. The density of states at the Fermi level comes out at 6.299 states/eV per cell.

```
LaMg2Br
1.0
0.000 3.905 3.905
3.905 0.000 3.905
3.905 3.905 0.000
Mg Br La
2 1 1
Direct
0.250 0.250 0.250
0.750 0.750 0.750
0.000 0.000 0.000
0.500 0.500 0.500
```



Question: Which formula does entry 6 have?
Answer: La2MgBr



Question: What is the total DFT energy (no corrections) in the first record?
Answer: -15.10 eV per cell